# SiTcAu2 | the Alexandria database | GGA-PBE | relaxed
# Crystal system = orthorhombic
# Formation energy without anion corrections = 249 meV/atom
# Magnetization = 0.00 μB/f.u.
# DFT total energy = -21.3 eV for the cell shown
data_SiTcAu2
_symmetry_space_group_name_H-M 'P m m m'
_symmetry_Int_Tables_number 47
_cell_length_a 3.1876
_cell_length_b 4.2957
_cell_length_c 4.7109
_cell_angle_alpha 90.00
_cell_angle_beta 90.00
_cell_angle_gamma 90.00
loop_
_symmetry_equiv_pos_as_xyz
'x,y,z'
'-x,-y,-z'
'-x,-y,z'
'x,y,-z'
'x,-y,-z'
'-x,y,z'
'-x,y,-z'
'x,-y,z'
loop_
_atom_site_label
_atom_site_type_symbol
_atom_site_fract_x
_atom_site_fract_y
_atom_site_fract_z
Si1 Si 0.0000 0.0000 0.0000
Tc1 Tc 0.5000 0.5000 0.0000
Au1 Au 0.0000 0.5000 0.5000
Au2 Au 0.5000 0.0000 0.5000